1.
Pm3Tl2Sn | PBE | relaxed

a = 16.5454 Å, b = 6.5608 Å, c = 6.6154 Å
α = 90.00°, β = 102.50°, γ = 90.00°
Closest atoms and distances in Å follow each position.
Space group C2/c (No. 15)
Inequivalent atoms, fractional coordinates:
Pm1 0.0000 0.1400 0.2500 [4 per cell]  4 Tl 3.26-3.48, 4 Sn 3.28-3.61, 2 Pm 3.57
Pm2 0.1683 0.3831 0.5948 [8 per cell]  5 Tl 3.17-3.54, 1 Sn 3.17
Tl1 0.1656 0.1177 0.0598 [8 per cell]  7 Pm 3.17-3.54, 1 Sn 3.44, 1 Tl 3.52
Sn1 0.0000 0.3599 0.7500 [4 per cell]  4 Pm 3.17-3.28, 2 Tl 3.44

Summary:
The calculation puts the magnetization at 0.0000 μB/atom. The calculated formation energy comes out at -2.78 eV/f.u. The calculation puts the calculated volume at 701 Å³/cell.

***

2.
Pm9Tl2Sn | PBE | relaxed

a = 4.9513 Å, b = 4.9513 Å, c = 14.8340 Å
α = 90.00°, β = 90.00°, γ = 90.00°
Closest atoms and distances in Å follow each position.
Space group P4/mmm (No. 123)
Inequivalent atoms, fractional coordinates:
Pm1 0.0000 0.0000 0.0000 [1 per cell]  8 Pm 3.46, 4 Sn 3.50
Pm2 0.0000 0.0000 0.3320 [2 per cell]  4 Tl 3.50, 8 Pm 3.51-3.52
Pm3 0.0000 0.5000 0.1633 [4 per cell]  2 Sn 3.46, 8 Pm 3.46-3.52, 2 Tl 3.53
Pm4 0.0000 0.5000 0.5000 [2 per cell]  4 Tl 3.50, 8 Pm 3.50-3.51
Tl1 0.5000 0.5000 0.3332 [2 per cell]  12 Pm 3.50-3.53
Sn1 0.5000 0.5000 0.0000 [1 per cell]  12 Pm 3.46-3.50

Summary:
The calculation puts the magnetization at 0.0000 μB/atom. The calculated formation energy comes out at -3.45 eV/f.u. The calculation puts the calculated volume at 364 Å³/cell.

***

3.
Pm3TlSn2 | PBE | relaxed

a = 17.1275 Å, b = 6.4865 Å, c = 6.3947 Å
α = 90.00°, β = 101.70°, γ = 90.00°
Closest atoms and distances in Å follow each position.
Space group C2/c (No. 15)
Inequivalent atoms, fractional coordinates:
Pm1 0.0000 0.1322 0.2500 [4 per cell]  4 Tl 3.21-3.56, 4 Sn 3.22-3.43
Pm2 0.1727 0.3850 0.6043 [8 per cell]  5 Sn 3.19-3.55, 1 Tl 3.28, 2 Pm 3.53
Tl1 0.0000 0.3730 0.7500 [4 per cell]  6 Pm 3.21-3.56, 2 Sn 3.51
Sn1 0.1606 0.1075 0.0638 [8 per cell]  7 Pm 3.19-3.55, 2 Sn 3.49, 1 Tl 3.51

Summary:
The calculation puts the magnetization at 0.0000 μB/atom. The calculated formation energy comes out at -3.32 eV/f.u. The calculation puts the calculated volume at 696 Å³/cell.

***

4.
Pm5TlSn2 | PBE | relaxed

a = 7.0392 Å, b = 7.0392 Å, c = 9.4533 Å
α = 90.00°, β = 90.00°, γ = 90.00°
Closest atoms and distances in Å follow each position.
Space group I4/mmm (No. 139)
Inequivalent atoms, fractional coordinates:
Pm1 0.0000 0.0000 0.0000 [2 per cell]  8 Pm 3.43, 4 Sn 3.52
Pm2 0.2500 0.2500 0.2500 [8 per cell]  4 Sn 3.43, 6 Pm 3.43-3.52, 2 Tl 3.43
Tl1 0.0000 0.0000 0.5000 [2 per cell]  8 Pm 3.43, 4 Sn 3.52
Sn1 0.0000 0.5000 0.0000 [4 per cell]  10 Pm 3.43-3.52, 2 Tl 3.52

Summary:
The calculation puts the magnetization at 0.0000 μB/atom. The calculated formation energy comes out at -3.65 eV/f.u. The calculation puts the calculated volume at 468 Å³/cell.

***

5.
PmTl2Sn | PBE | relaxed

a = 4.6901 Å, b = 4.6901 Å, c = 5.0339 Å
α = 90.00°, β = 90.00°, γ = 90.00°
Closest atoms and distances in Å follow each position.
Space group P4/mmm (No. 123)
Inequivalent atoms, fractional coordinates:
Pm1 0.0000 0.0000 0.0000 [1 per cell]  4 Sn 3.32, 8 Tl 3.44
Tl1 0.0000 0.5000 0.5000 [2 per cell]  4 Tl 3.32, 4 Sn 3.44, 4 Pm 3.44
Sn1 0.5000 0.5000 0.0000 [1 per cell]  4 Pm 3.32, 8 Tl 3.44

Summary:
The calculation puts the magnetization at 0.0000 μB/atom. The calculated formation energy comes out at -1.48 eV/f.u. The calculation puts the calculated volume at 111 Å³/cell.

***

6.
Pm7Tl4Sn | PBE | relaxed

a = 16.7749 Å, b = 5.8549 Å, c = 9.0429 Å
α = 90.00°, β = 121.57°, γ = 90.00°
Closest atoms and distances in Å follow each position.
Space group C2/m (No. 12)
Inequivalent atoms, fractional coordinates:
Pm1 0.0000 0.0000 0.0000 [2 per cell]  2 Sn 2.93, 2 Tl 3.10
Pm2 0.0678 0.5000 0.7357 [4 per cell]  1 Sn 3.14, 3 Tl 3.32-3.47, 1 Pm 3.41
Pm3 0.1640 0.5000 0.3997 [4 per cell]  3 Tl 3.18-3.43, 1 Sn 3.20, 2 Pm 3.41-3.50
Pm4 0.2216 0.0000 0.8311 [4 per cell]  4 Tl 3.14-3.30, 1 Pm 3.50
Tl1 0.0618 0.0000 0.4129 [4 per cell]  1 Tl 3.19, 6 Pm 3.30-3.47
Tl2 0.2161 0.0000 0.1883 [4 per cell]  6 Pm 3.10-3.32
Sn1 0.0000 0.5000 0.0000 [2 per cell]  6 Pm 2.93-3.20

Summary:
The calculation puts the magnetization at 0.0000 μB/atom. The calculated formation energy comes out at -3.17 eV/f.u. The calculation puts the calculated volume at 757 Å³/cell.

***

7.
PmTlSn2 | PBE | relaxed

a = 4.7280 Å, b = 4.7280 Å, c = 4.8782 Å
α = 90.00°, β = 90.00°, γ = 90.00°
Closest atoms and distances in Å follow each position.
Space group P4/mmm (No. 123)
Inequivalent atoms, fractional coordinates:
Pm1 0.0000 0.0000 0.0000 [1 per cell]  4 Tl 3.34, 8 Sn 3.40
Tl1 0.5000 0.5000 0.0000 [1 per cell]  4 Pm 3.34, 8 Sn 3.40
Sn1 0.0000 0.5000 0.5000 [2 per cell]  4 Sn 3.34, 4 Tl 3.40, 4 Pm 3.40

Summary:
The calculation puts the magnetization at 0.0000 μB/atom. The calculated formation energy comes out at -1.78 eV/f.u. The calculation puts the calculated volume at 109 Å³/cell.

***

8.
Pm2TlSn | PBE | relaxed

a = 6.3296 Å, b = 4.4193 Å, c = 9.1361 Å
α = 90.00°, β = 108.17°, γ = 90.00°
Closest atoms and distances in Å follow each position.
Space group P2_1/m (No. 11)
Inequivalent atoms, fractional coordinates:
Pm1 0.1964 0.2500 0.4276 [2 per cell]  4 Tl 3.20-3.52, 3 Sn 3.25-3.52
Pm2 0.2910 0.7500 0.0657 [2 per cell]  4 Sn 3.24-3.52, 3 Tl 3.29-3.56
Tl1 0.3886 0.7500 0.7021 [2 per cell]  2 Sn 3.04, 5 Pm 3.20-3.29
Sn1 0.1242 0.2500 0.7940 [2 per cell]  2 Tl 3.04, 5 Pm 3.24-3.26

Summary:
The calculation puts the magnetization at 0.0000 μB/atom. The calculated formation energy comes out at -2.33 eV/f.u. The calculation puts the calculated volume at 243 Å³/cell.

***

9.
Pm6TlSn3 | PBE | relaxed

a = 12.5998 Å, b = 12.5929 Å, c = 7.8025 Å
α = 90.00°, β = 90.00°, γ = 90.00°
Closest atoms and distances in Å follow each position.
Space group Cmc2_1 (No. 36)
Inequivalent atoms, fractional coordinates:
Pm1 0.0000 0.1220 0.0000 [4 per cell]  1 Tl 3.15, 5 Sn 3.20-3.26
Pm2 0.0000 0.1590 0.5005 [4 per cell]  5 Sn 3.18-3.51, 1 Tl 3.22, 1 Pm 3.54
Pm3 0.1434 0.4811 0.4964 [8 per cell]  4 Sn 3.15-3.35, 2 Tl 3.34-3.42
Pm4 0.2460 0.2549 0.7569 [8 per cell]  3 Sn 3.30-3.36, 1 Tl 3.43
Tl1 0.0000 0.3377 0.2057 [4 per cell]  8 Pm 3.15-3.43, 1 Sn 3.32
Sn1 0.0000 0.3426 0.7805 [4 per cell]  8 Pm 3.18-3.35, 1 Tl 3.32
Sn2 0.1610 0.0045 0.7463 [8 per cell]  8 Pm 3.15-3.51

Summary:
The calculation puts the magnetization at 0.0001 μB/atom. The calculated formation energy comes out at -5.56 eV/f.u. The calculation puts the calculated volume at 1238 Å³/cell.

***

10.
Pm12TlSn6 | PBE | relaxed

a = 13.9517 Å, b = 13.9517 Å, c = 12.3873 Å
α = 90.00°, β = 90.00°, γ = 120.00°
Closest atoms and distances in Å follow each position.
Space group R-3 (No. 148, hexagonal axes)
Inequivalent atoms, fractional coordinates:
Pm1 0.0306 0.2021 0.3879 [18 per cell]  4 Sn 3.14-3.30
Pm2 0.0571 0.2195 0.8895 [18 per cell]  1 Tl 3.07, 3 Sn 3.12-3.39, 1 Pm 3.42
Tl1 0.0000 0.0000 0.0000 [3 per cell]  6 Pm 3.07
Sn1 0.0418 0.2664 0.6458 [18 per cell]  7 Pm 3.12-3.39

Summary:
The calculation puts the magnetization at 0.0001 μB/atom. The calculated formation energy comes out at -6.67 eV/f.u. The calculation puts the calculated volume at 2088 Å³/cell.

***

11.
Pm8TlSn2 | PBE | relaxed

a = 19.8422 Å, b = 5.2306 Å, c = 7.0310 Å
α = 90.00°, β = 103.83°, γ = 90.00°
Closest atoms and distances in Å follow each position.
Space group C2/m (No. 12)
Inequivalent atoms, fractional coordinates:
Pm1 0.0187 0.0000 0.2635 [4 per cell]  2 Tl 3.17, 1 Sn 3.23
Pm2 0.0932 0.5000 0.9806 [4 per cell]  1 Tl 3.44, 2 Sn 3.46, 7 Pm 3.57-3.79
Pm3 0.1598 0.5000 0.4989 [4 per cell]  1 Tl 3.17, 3 Sn 3.21-3.23, 2 Pm 3.47
Pm4 0.2135 0.0000 0.8244 [4 per cell]  3 Sn 3.25-3.48, 2 Pm 3.47
Tl1 0.0000 0.5000 0.5000 [2 per cell]  8 Pm 3.17-3.44
Sn1 0.1806 0.0000 0.2552 [4 per cell]  9 Pm 3.21-3.48

Summary:
The calculation puts the magnetization at 0.0000 μB/atom. The calculated formation energy comes out at -3.55 eV/f.u. The calculation puts the calculated volume at 709 Å³/cell.

***

12.
Pm8Tl4Sn3 | PBE | relaxed

a = 12.8250 Å, b = 12.6902 Å, c = 7.2238 Å
α = 90.00°, β = 124.02°, γ = 90.00°
Closest atoms and distances in Å follow each position.
Space group C2/m (No. 12)
Inequivalent atoms, fractional coordinates:
Pm1 0.0000 0.1685 0.0000 [4 per cell]  2 Tl 3.37, 2 Sn 3.38, 2 Pm 3.76
Pm2 0.0000 0.2496 0.5000 [4 per cell]  3 Sn 3.17-3.21, 3 Tl 3.18-3.22
Pm3 0.2421 0.0000 0.9945 [4 per cell]  1 Sn 3.16, 4 Tl 3.17-3.29
Pm4 0.2469 0.0000 0.4997 [4 per cell]  3 Sn 3.17, 2 Tl 3.24
Tl1 0.0000 0.5000 0.0000 [2 per cell]  4 Pm 3.24-3.29, 2 Tl 3.61
Tl2 0.0000 0.5000 0.5000 [2 per cell]  6 Pm 3.18-3.28
Tl3 0.2500 0.2500 0.0000 [4 per cell]  6 Pm 3.17-3.37
Sn1 0.0000 0.0000 0.5000 [2 per cell]  6 Pm 3.16-3.17
Sn2 0.2500 0.2500 0.5000 [4 per cell]  6 Pm 3.17-3.38

Summary:
The calculation puts the magnetization at 0.0000 μB/atom. The calculated formation energy comes out at -4.77 eV/f.u. The calculation puts the calculated volume at 974 Å³/cell.

***

13.
Pm4TlSn5 | PBE | relaxed

a = 4.5583 Å, b = 11.1118 Å, c = 11.5406 Å
α = 90.00°, β = 90.00°, γ = 90.00°
Closest atoms and distances in Å follow each position.
Space group Immm (No. 71)
Inequivalent atoms, fractional coordinates:
Pm1 0.0000 0.0000 0.1907 [4 per cell]  2 Tl 3.17, 4 Sn 3.26
Pm2 0.0000 0.2135 0.5000 [4 per cell]  1 Tl 3.18, 6 Sn 3.29-3.31
Tl1 0.0000 0.5000 0.5000 [2 per cell]  6 Pm 3.17-3.18
Sn1 0.0000 0.3210 0.2050 [8 per cell]  3 Sn 2.96-3.09, 4 Pm 3.26-3.31
Sn2 0.0000 0.5000 0.0000 [2 per cell]  4 Sn 3.09, 4 Pm 3.29

Summary:
The calculation puts the magnetization at 0.0000 μB/atom. The calculated formation energy comes out at -5.42 eV/f.u. The calculation puts the calculated volume at 585 Å³/cell.

***

14.
PmTlSn4 | PBE | relaxed

a = 8.8247 Å, b = 8.8247 Å, c = 8.8247 Å
α = 90.00°, β = 90.00°, γ = 90.00°
Closest atoms and distances in Å follow each position.
Space group F-43m (No. 216)
Inequivalent atoms, fractional coordinates:
Pm1 0.0000 0.0000 0.0000 [4 per cell]  12 Sn 3.66, 4 Tl 3.82
Tl1 0.2500 0.2500 0.7500 [4 per cell]  12 Sn 3.66, 4 Pm 3.82
Sn1 0.1252 0.1252 0.3748 [16 per cell]  6 Sn 3.11-3.13

Summary:
The calculation puts the magnetization at 0.0000 μB/atom. The calculated formation energy comes out at -1.17 eV/f.u. The calculation puts the calculated volume at 687 Å³/cell.

***

15.
Pm2TlSn | PBE | relaxed

a = 7.2673 Å, b = 8.8728 Å, c = 3.5455 Å
α = 90.00°, β = 90.00°, γ = 90.00°
Closest atoms and distances in Å follow each position.
Space group Cmmm (No. 65)
Inequivalent atoms, fractional coordinates:
Pm1 0.2500 0.2500 0.0000 [4 per cell]  4 Tl 3.37, 4 Sn 3.37, 4 Pm 3.55-3.63
Tl1 0.0000 0.0000 0.5000 [2 per cell]  8 Pm 3.37, 2 Tl 3.55, 2 Sn 3.63
Sn1 0.0000 0.5000 0.5000 [2 per cell]  8 Pm 3.37, 2 Sn 3.55, 2 Tl 3.63

Summary:
The calculation puts the magnetization at 0.0000 μB/atom. The calculated formation energy comes out at -2.16 eV/f.u. The calculation puts the calculated volume at 229 Å³/cell.

***

16.
PmTl2Sn | PBE | relaxed

a = 5.2419 Å, b = 5.2419 Å, c = 14.6898 Å
α = 90.00°, β = 90.00°, γ = 120.00°
Closest atoms and distances in Å follow each position.
Space group R-3m (No. 166, hexagonal axes)
Inequivalent atoms, fractional coordinates:
Pm1 0.0000 0.0000 0.0000 [3 per cell]  8 Tl 3.30-3.58
Tl1 0.0000 0.0000 0.2437 [6 per cell]  3 Sn 3.23, 4 Pm 3.30-3.58
Sn1 0.0000 0.0000 0.5000 [3 per cell]  6 Tl 3.23

Summary:
The calculation puts the magnetization at 0.0000 μB/atom. The calculated formation energy comes out at -0.59 eV/f.u. The calculation puts the calculated volume at 350 Å³/cell.

***

17.
Pm2Tl3Sn3 | PBE | relaxed

a = 4.6844 Å, b = 4.7432 Å, c = 9.8889 Å
α = 90.00°, β = 90.00°, γ = 90.00°
Closest atoms and distances in Å follow each position.
Space group Pmmm (No. 47)
Inequivalent atoms, fractional coordinates:
Pm1 0.0000 0.0000 0.2393 [2 per cell]  6 Sn 3.33-3.48, 6 Tl 3.33-3.50
Tl1 0.0000 0.5000 0.5000 [1 per cell]  4 Sn 3.33, 4 Tl 3.40, 4 Pm 3.50
Tl2 0.5000 0.5000 0.2501 [2 per cell]  4 Pm 3.33, 2 Tl 3.40, 6 Sn 3.41-3.43
Sn1 0.0000 0.5000 0.0000 [1 per cell]  4 Sn 3.33, 4 Pm 3.35, 4 Tl 3.41
Sn2 0.5000 0.0000 0.0000 [1 per cell]  4 Pm 3.33, 4 Sn 3.33, 4 Tl 3.43
Sn3 0.5000 0.0000 0.5000 [1 per cell]  8 Tl 3.33-3.42, 4 Pm 3.48

Summary:
The calculation puts the magnetization at 0.0000 μB/atom. The calculated formation energy comes out at -3.22 eV/f.u. The calculation puts the calculated volume at 220 Å³/cell.

***

18.
Pm4TlSn3 | PBE | relaxed

a = 4.3988 Å, b = 4.6441 Å, c = 11.7371 Å
α = 90.00°, β = 90.00°, γ = 90.00°
Closest atoms and distances in Å follow each position.
Space group Pmm2 (No. 25)
Inequivalent atoms, fractional coordinates:
Pm1 0.0000 0.0000 0.0000 [1 per cell]  5 Sn 3.20-3.25, 2 Tl 3.55
Pm2 0.0000 0.5000 0.4967 [1 per cell]  1 Tl 3.23, 6 Sn 3.24-3.51
Pm3 0.5000 0.0000 0.7263 [1 per cell]  3 Sn 3.22-3.50, 4 Tl 3.24
Pm4 0.5000 0.5000 0.2260 [1 per cell]  7 Sn 3.24-3.53
Tl1 0.0000 0.5000 0.7716 [1 per cell]  2 Sn 3.03, 5 Pm 3.23-3.24
Sn1 0.0000 0.0000 0.2725 [1 per cell]  2 Sn 3.05, 5 Pm 3.20-3.24
Sn2 0.5000 0.0000 0.4520 [1 per cell]  2 Sn 3.05, 5 Pm 3.22-3.24
Sn3 0.5000 0.5000 0.9494 [1 per cell]  2 Tl 3.03, 5 Pm 3.25

Summary:
The calculation puts the magnetization at 0.0000 μB/atom. The calculated formation energy comes out at -5.47 eV/f.u. The calculation puts the calculated volume at 240 Å³/cell.

***

19.
Pm5TlSn2 | PBE | relaxed

a = 8.2897 Å, b = 8.2897 Å, c = 14.5033 Å
α = 90.00°, β = 90.00°, γ = 90.00°
Closest atoms and distances in Å follow each position.
Space group I4/mcm (No. 140)
Inequivalent atoms, fractional coordinates:
Pm1 0.0000 0.0000 0.0000 [4 per cell]  4 Sn 3.23
Pm2 0.1659 0.3341 0.1481 [16 per cell]  3 Sn 3.18-3.30, 2 Tl 3.43, 1 Pm 3.55
Tl1 0.0000 0.0000 0.2500 [4 per cell]  10 Pm 3.43-3.63
Sn1 0.1340 0.3660 0.5000 [8 per cell]  1 Sn 3.14, 8 Pm 3.18-3.30

Summary:
The calculation puts the magnetization at 0.0552 μB/atom. The calculated formation energy comes out at -4.28 eV/f.u. The calculation puts the calculated volume at 997 Å³/cell.

***

20.
Pm5TlSn6 | PBE | relaxed

a = 4.7987 Å, b = 9.2220 Å, c = 15.2107 Å
α = 90.00°, β = 90.00°, γ = 90.00°
Closest atoms and distances in Å follow each position.
Space group Immm (No. 71)
Inequivalent atoms, fractional coordinates:
Pm1 0.0000 0.0000 0.0000 [2 per cell]  8 Sn 3.24-3.46, 4 Pm 3.53
Pm2 0.0000 0.0000 0.3540 [4 per cell]  2 Tl 3.27, 8 Sn 3.29-3.59
Pm3 0.0000 0.5000 0.3294 [4 per cell]  8 Sn 3.30-3.39, 4 Pm 3.53-3.68
Tl1 0.0000 0.5000 0.0000 [2 per cell]  4 Pm 3.27, 8 Sn 3.42-3.50
Sn1 0.0000 0.2463 0.1713 [8 per cell]  7 Pm 3.30-3.59, 4 Sn 3.39-3.54, 1 Tl 3.50
Sn2 0.0000 0.2639 0.5000 [4 per cell]  6 Pm 3.24-3.39, 2 Tl 3.42, 4 Sn 3.54

Summary:
The calculation puts the magnetization at 0.0000 μB/atom. The calculated formation energy comes out at -7.28 eV/f.u. The calculation puts the calculated volume at 673 Å³/cell.